Entry 1:
Ho5CdAg4 PBE optimized geometry; VASP energy = -3.85 eV per atom; DOS at the Fermi energy = 5.35 states/eV/cell; energy of formation from the pure elements = -326 meV/atom; calculated volume = 24.09 A^3/atom
1.0
3.6273 0.0000 0.0000
0.0000 3.6273 0.0000
0.0000 0.0000 18.3073
Ho Cd Ag
5 1 4
Cartesian
0.0000 0.0000 0.0000
0.0000 0.0000 3.6273
0.0000 0.0000 7.2317
0.0000 0.0000 11.0756
0.0000 0.0000 14.6800
1.8137 1.8137 9.1536
1.8137 1.8137 1.8070
1.8137 1.8137 5.4505
1.8137 1.8137 12.8567
1.8137 1.8137 16.5003

=====

Entry 2:
GaFe3Pb PBE optimized geometry; excess energy over the best structure of this formula in the dataset = 0.000 eV/atom; VASP energy = -5.60 eV per atom; DOS at the Fermi energy = 6.28 states/eV/cell; energy of formation from the pure elements = 829 meV/atom; calculated volume = 18.50 A^3/atom
1.0
4.5225 0.0000 0.0000
0.0000 4.5225 0.0000
0.0000 0.0000 4.5225
Ga Fe Pb
1 3 1
Cartesian
0.0000 0.0000 0.0000
0.0000 0.0000 2.2612
0.0000 2.2612 0.0000
2.2612 0.0000 0.0000
2.2612 2.2612 2.2612

=====

Entry 3:
Sr3Mo PBE optimized geometry; excess energy over the best structure of this formula in the dataset = 0.000 eV/atom; VASP energy = -3.24 eV per atom; DOS at the Fermi energy = 14.73 states/eV/cell; energy of formation from the pure elements = 726 meV/atom; calculated volume = 40.86 A^3/atom
1.0
8.9912 0.0000 0.0000
0.0000 10.5138 0.0000
0.0000 0.0000 6.9157
Sr Mo
12 4
Cartesian
0.2921 2.6284 0.7991
1.5447 0.6419 4.4149
1.5447 4.6150 4.4149
2.9509 5.8988 0.9571
2.9509 9.8719 0.9571
4.2034 7.8853 4.2569
4.7877 2.6284 2.6588
6.0403 0.6419 5.9586
6.0403 4.6150 5.9586
7.4465 5.8988 2.5008
7.4465 9.8719 2.5008
8.6990 7.8853 6.1166
1.1076 7.8853 2.9736
3.3880 2.6284 6.4314
5.6032 7.8853 0.4843
7.8835 2.6284 3.9421

=====

Entry 4:
La3As2Cl PBE optimized geometry; excess energy over the best structure of this formula in the dataset = 0.000 eV/atom; uncorrected formation energy = -1664 meV/atom; VASP energy = -5.99 eV per atom; DOS at the Fermi energy = 2.85 states/eV/cell; calculated volume = 28.58 A^3/atom
1.0
-2.1641 3.0414 6.5134
2.1641 -3.0414 6.5134
2.1641 3.0414 -6.5134
La As Cl
3 2 1
Cartesian
0.0000 0.0000 0.0000
0.0000 0.0000 4.2144
0.0000 0.0000 8.8124
2.1641 0.0000 2.1371
0.0000 3.0414 4.3762
0.0000 3.0414 0.0000